Entry 1:
# TlRe2Mo PBE relaxed
data_TlRe2Mo
_symmetry_space_group_name_H-M 'P m m 2'
_symmetry_Int_Tables_number 25
_cell_length_a 2.9064
_cell_length_b 4.0467
_cell_length_c 5.8621
_cell_angle_alpha 90.00
_cell_angle_beta 90.00
_cell_angle_gamma 90.00
loop_
_symmetry_equiv_pos_as_xyz
'x,y,z'
'-x,-y,z'
'-x,y,z'
'x,-y,z'
loop_
_atom_site_label
_atom_site_type_symbol
_atom_site_fract_x
_atom_site_fract_y
_atom_site_fract_z
Tl1 Tl 0.0000 0.0000 0.0000
Re1 Re 0.0000 0.0000 0.5051
Re2 Re 0.5000 0.5000 0.7015
Mo1 Mo 0.5000 0.5000 0.2862
# DOS(E_F): 3.6 states/eV/cell
# ΔE_f: 0.578 eV per atom
# E above lowest polymorph: 0.0960 eV per atom

=====

Entry 2:
# ScBePd4 PBE relaxed
data_ScBePd4
_symmetry_space_group_name_H-M 'C 1 2/m 1'
_symmetry_Int_Tables_number 12
_cell_length_a 8.7445
_cell_length_b 3.1005
_cell_length_c 7.5333
_cell_angle_alpha 90.00
_cell_angle_beta 111.80
_cell_angle_gamma 90.00
loop_
_symmetry_equiv_pos_as_xyz
'x,y,z'
'-x,-y,-z'
'-x,y,-z'
'x,-y,z'
'x+1/2,y+1/2,z'
'-x+1/2,-y+1/2,-z'
'-x+1/2,y+1/2,-z'
'x+1/2,-y+1/2,z'
loop_
_atom_site_label
_atom_site_type_symbol
_atom_site_fract_x
_atom_site_fract_y
_atom_site_fract_z
Sc1 Sc 0.0000 0.0000 0.0000
Be1 Be 0.0000 0.5000 0.5000
Pd1 Pd 0.1229 0.0000 0.3850
Pd2 Pd 0.1611 0.5000 0.8286
# DOS(E_F): 4.9 states/eV/cell
# ΔE_f: -0.481 eV per atom

=====

Entry 3:
# Cs2KLi PBE relaxed
data_Cs2KLi
_symmetry_space_group_name_H-M 'F m -3 m'
_symmetry_Int_Tables_number 225
_symmetry_space_group_name_Hall '-F 4 2 3'
_cell_length_a 10.6360
_cell_length_b 10.6360
_cell_length_c 10.6360
_cell_angle_alpha 90.00
_cell_angle_beta 90.00
_cell_angle_gamma 90.00
loop_
_atom_site_label
_atom_site_type_symbol
_atom_site_fract_x
_atom_site_fract_y
_atom_site_fract_z
Cs1 Cs 0.2500 0.2500 0.2500
K1 K 0.0000 0.0000 0.0000
Li1 Li 0.0000 0.0000 0.5000
# DOS(E_F): 12.2 states/eV/cell
# ΔE_f: 0.132 eV per atom
# E above lowest polymorph: 0.0188 eV per atom

=====

Entry 4:
# La5Sm2Y12 PBE relaxed
data_La5Sm2Y12
_symmetry_space_group_name_H-M 'C 1 2/m 1'
_symmetry_Int_Tables_number 12
_cell_length_a 12.4155
_cell_length_b 7.2153
_cell_length_c 15.2836
_cell_angle_alpha 90.00
_cell_angle_beta 108.33
_cell_angle_gamma 90.00
loop_
_symmetry_equiv_pos_as_xyz
'x,y,z'
'-x,-y,-z'
'-x,y,-z'
'x,-y,z'
'x+1/2,y+1/2,z'
'-x+1/2,-y+1/2,-z'
'-x+1/2,y+1/2,-z'
'x+1/2,-y+1/2,z'
loop_
_atom_site_label
_atom_site_type_symbol
_atom_site_fract_x
_atom_site_fract_y
_atom_site_fract_z
La1 La 0.0000 0.0000 0.0000
La2 La 0.0945 0.5000 0.0982
La3 La 0.2488 0.5000 0.4983
Sm1 Sm 0.0000 0.2508 0.5000
Y1 Y 0.0871 0.2457 0.2893
Y2 Y 0.1564 0.5000 0.6937
Y3 Y 0.1581 0.0000 0.6968
Y4 Y 0.1725 0.2598 0.8913
# DOS(E_F): 59.9 states/eV/cell
# ΔE_f: 0.104 eV per atom

=====

Entry 5:
# Tl2P6Pt PBE relaxed
data_Tl2P6Pt
_symmetry_space_group_name_H-M 'F m -3 m'
_symmetry_Int_Tables_number 225
_symmetry_space_group_name_Hall '-F 4 2 3'
_cell_length_a 8.8290
_cell_length_b 8.8290
_cell_length_c 8.8290
_cell_angle_alpha 90.00
_cell_angle_beta 90.00
_cell_angle_gamma 90.00
loop_
_atom_site_label
_atom_site_type_symbol
_atom_site_fract_x
_atom_site_fract_y
_atom_site_fract_z
Tl1 Tl 0.2500 0.2500 0.2500
P1 P 0.0000 0.0000 0.2025
Pt1 Pt 0.0000 0.0000 0.5000
# DOS(E_F): 16.9 states/eV/cell
# ΔE_f: 0.422 eV per atom

=====

Entry 6:
# K3Cu2PdBr9 PBE relaxed
data_K3Cu2PdBr9
_symmetry_space_group_name_H-M 'P -3 m 1'
_symmetry_Int_Tables_number 164
_symmetry_space_group_name_Hall '-P 3 2"'
_cell_length_a 7.3644
_cell_length_b 7.3644
_cell_length_c 8.9656
_cell_angle_alpha 90.00
_cell_angle_beta 90.00
_cell_angle_gamma 120.00
loop_
_atom_site_label
_atom_site_type_symbol
_atom_site_fract_x
_atom_site_fract_y
_atom_site_fract_z
K1 K 0.0000 0.0000 0.0000
K2 K 0.3333 0.6667 0.6734
Cu1 Cu 0.3333 0.6667 0.1608
Pd1 Pd 0.0000 0.0000 0.5000
Br1 Br 0.0000 0.5000 0.0000
Br2 Br 0.1671 0.3343 0.3337
# DOS(E_F): 3.8 states/eV/cell
# uncorrected energy: -2.97 eV per atom

=====

Entry 7:
# YOsBr PBE relaxed
data_YOsBr
_symmetry_space_group_name_H-M 'P -6 m 2'
_symmetry_Int_Tables_number 187
_symmetry_space_group_name_Hall 'P -6 2'
_cell_length_a 4.4877
_cell_length_b 4.4877
_cell_length_c 3.4295
_cell_angle_alpha 90.00
_cell_angle_beta 90.00
_cell_angle_gamma 120.00
loop_
_atom_site_label
_atom_site_type_symbol
_atom_site_fract_x
_atom_site_fract_y
_atom_site_fract_z
Y1 Y 0.0000 0.0000 0.0000
Os1 Os 0.6667 0.3333 0.5000
Br1 Br 0.3333 0.6667 0.5000
# DOS(E_F): 2.3 states/eV/cell
# E above lowest polymorph: 1.0911 eV per atom

=====

Entry 8:
# Sr2TlTc PBE relaxed
data_Sr2TlTc
_symmetry_space_group_name_H-M 'A m m 2'
_symmetry_Int_Tables_number 38
_cell_length_a 4.7040
_cell_length_b 4.6414
_cell_length_c 11.9969
_cell_angle_alpha 90.00
_cell_angle_beta 90.00
_cell_angle_gamma 90.00
loop_
_symmetry_equiv_pos_as_xyz
'x,y,z'
'-x,-y,z'
'-x,y,z'
'x,-y,z'
'x,y+1/2,z+1/2'
'-x,-y+1/2,z+1/2'
'-x,y+1/2,z+1/2'
'x,-y+1/2,z+1/2'
loop_
_atom_site_label
_atom_site_type_symbol
_atom_site_fract_x
_atom_site_fract_y
_atom_site_fract_z
Sr1 Sr 0.0000 0.0000 0.0000
Sr2 Sr 0.5000 0.0000 0.2862
Tl1 Tl 0.0000 0.0000 0.7055
Tc1 Tc 0.5000 0.0000 0.5870
# DOS(E_F): 9.9 states/eV/cell
# ΔE_f: 0.360 eV per atom
# E above lowest polymorph: 0.0097 eV per atom

=====

Entry 9:
# ScCuAgF6 PBE relaxed
data_ScCuAgF6
_symmetry_space_group_name_H-M 'P -3 1 c'
_symmetry_Int_Tables_number 163
_symmetry_space_group_name_Hall '-P 3 2c'
_cell_length_a 5.4767
_cell_length_b 5.4767
_cell_length_c 10.1747
_cell_angle_alpha 90.00
_cell_angle_beta 90.00
_cell_angle_gamma 120.00
loop_
_atom_site_label
_atom_site_type_symbol
_atom_site_fract_x
_atom_site_fract_y
_atom_site_fract_z
Sc1 Sc 0.3333 0.6667 0.2500
Cu1 Cu 0.3333 0.6667 0.7500
Ag1 Ag 0.0000 0.0000 0.0000
F1 F 0.0036 0.3671 0.1424
# DOS(E_F): 11.9 states/eV/cell
# uncorrected energy: -5.16 eV per atom

=====

Entry 10:
# UGaSi PBE relaxed
data_UGaSi
_symmetry_space_group_name_H-M 'I m m 2'
_symmetry_Int_Tables_number 44
_cell_length_a 3.6985
_cell_length_b 7.2897
_cell_length_c 8.0055
_cell_angle_alpha 90.00
_cell_angle_beta 90.00
_cell_angle_gamma 90.00
loop_
_symmetry_equiv_pos_as_xyz
'x,y,z'
'-x,-y,z'
'-x,y,z'
'x,-y,z'
'x+1/2,y+1/2,z+1/2'
'-x+1/2,-y+1/2,z+1/2'
'-x+1/2,y+1/2,z+1/2'
'x+1/2,-y+1/2,z+1/2'
loop_
_atom_site_label
_atom_site_type_symbol
_atom_site_fract_x
_atom_site_fract_y
_atom_site_fract_z
U1 U 0.0000 0.0000 0.0000
U2 U 0.0000 0.5000 0.2819
Ga1 Ga 0.0000 0.3291 0.7848
Si1 Si 0.0000 0.1747 0.5058
# DOS(E_F): 15.6 states/eV/cell
# uncorrected energy: -6.77 eV per atom

=====

Entry 11:
# MgZnAg3 PBE relaxed
data_MgZnAg3
_symmetry_space_group_name_H-M 'P -1'
_symmetry_Int_Tables_number 2
_cell_length_a 4.9655
_cell_length_b 4.9713
_cell_length_c 7.7033
_cell_angle_alpha 84.22
_cell_angle_beta 72.38
_cell_angle_gamma 73.27
loop_
_symmetry_equiv_pos_as_xyz
'x,y,z'
'-x,-y,-z'
loop_
_atom_site_label
_atom_site_type_symbol
_atom_site_fract_x
_atom_site_fract_y
_atom_site_fract_z
Mg1 Mg 0.1461 0.2544 0.1990
Zn1 Zn 0.3581 0.2496 0.7905
Ag1 Ag 0.0508 0.7512 0.3927
Ag2 Ag 0.2557 0.7544 0.9983
Ag3 Ag 0.4488 0.7491 0.6033
# DOS(E_F): 2.3 states/eV/cell
# ΔE_f: -0.120 eV per atom
# E above lowest polymorph: 0.0000 eV per atom

=====

Entry 12:
# Sc2FeHg PBE relaxed
data_Sc2FeHg
_symmetry_space_group_name_H-M 'R -3 m'
_symmetry_Int_Tables_number 166
_symmetry_space_group_name_Hall '-R 3 2"'
_cell_length_a 3.3264
_cell_length_b 3.3264
_cell_length_c 25.0010
_cell_angle_alpha 90.00
_cell_angle_beta 90.00
_cell_angle_gamma 120.00
loop_
_atom_site_label
_atom_site_type_symbol
_atom_site_fract_x
_atom_site_fract_y
_atom_site_fract_z
Sc1 Sc 0.0000 0.0000 0.2367
Fe1 Fe 0.0000 0.0000 0.5000
Hg1 Hg 0.0000 0.0000 0.0000
# DOS(E_F): 12.6 states/eV/cell
# ΔE_f: -0.046 eV per atom

=====

Entry 13:
# AcYOs4 PBE relaxed
data_AcYOs4
_symmetry_space_group_name_H-M 'F -4 3 m'
_symmetry_Int_Tables_number 216
_symmetry_space_group_name_Hall 'F -4 2 3'
_cell_length_a 7.7474
_cell_length_b 7.7474
_cell_length_c 7.7474
_cell_angle_alpha 90.00
_cell_angle_beta 90.00
_cell_angle_gamma 90.00
loop_
_atom_site_label
_atom_site_type_symbol
_atom_site_fract_x
_atom_site_fract_y
_atom_site_fract_z
Ac1 Ac 0.0000 0.0000 0.0000
Y1 Y 0.2500 0.2500 0.7500
Os1 Os 0.1244 0.1244 0.3756
# DOS(E_F): 32.1 states/eV/cell
# ΔE_f: 0.024 eV per atom

=====

Entry 14:
# Pr2Ho3Pt4 PBE relaxed
data_Pr2Ho3Pt4
_symmetry_space_group_name_H-M 'C m c e'
_symmetry_Int_Tables_number 64
_symmetry_space_group_name_Hall '-C 2ac 2'
_cell_length_a 7.2800
_cell_length_b 15.9017
_cell_length_c 7.7814
_cell_angle_alpha 90.00
_cell_angle_beta 90.00
_cell_angle_gamma 90.00
loop_
_atom_site_label
_atom_site_type_symbol
_atom_site_fract_x
_atom_site_fract_y
_atom_site_fract_z
Pr1 Pr 0.0000 0.0998 0.0978
Ho1 Ho 0.0000 0.0000 0.5000
Ho2 Ho 0.2500 0.2131 0.7500
Pt1 Pt 0.0000 0.1920 0.4515
Pt2 Pt 0.2500 0.0373 0.7500
# DOS(E_F): 25.8 states/eV/cell
# ΔE_f: -1.008 eV per atom
# E above lowest polymorph: 0.1418 eV per atom

=====

Entry 15:
# Sr2CrCdRe PBE relaxed
data_Sr2CrCdRe
_symmetry_space_group_name_H-M 'P 4/m m m'
_symmetry_Int_Tables_number 123
_symmetry_space_group_name_Hall '-P 4 2'
_cell_length_a 6.0216
_cell_length_b 6.0216
_cell_length_c 5.1033
_cell_angle_alpha 90.00
_cell_angle_beta 90.00
_cell_angle_gamma 90.00
loop_
_atom_site_label
_atom_site_type_symbol
_atom_site_fract_x
_atom_site_fract_y
_atom_site_fract_z
Sr1 Sr 0.0000 0.5000 0.0000
Cr1 Cr 0.0000 0.0000 0.5000
Cd1 Cd 0.5000 0.5000 0.0000
Re1 Re 0.5000 0.5000 0.5000
# DOS(E_F): 6.1 states/eV/cell
# ΔE_f: 1.403 eV per atom

=====

Entry 16:
# Zr2FeTcH PBE relaxed
data_Zr2FeTcH
_symmetry_space_group_name_H-M 'P 4/m m m'
_symmetry_Int_Tables_number 123
_symmetry_space_group_name_Hall '-P 4 2'
_cell_length_a 4.6127
_cell_length_b 4.6127
_cell_length_c 3.3876
_cell_angle_alpha 90.00
_cell_angle_beta 90.00
_cell_angle_gamma 90.00
loop_
_atom_site_label
_atom_site_type_symbol
_atom_site_fract_x
_atom_site_fract_y
_atom_site_fract_z
Zr1 Zr 0.0000 0.5000 0.0000
Fe1 Fe 0.0000 0.0000 0.5000
Tc1 Tc 0.5000 0.5000 0.5000
H1 H 0.5000 0.5000 0.0000
# DOS(E_F): 1.9 states/eV/cell
# E above lowest polymorph: 0.1125 eV per atom

=====

Entry 17:
# Pr14Ag51 PBE relaxed
data_Pr14Ag51
_symmetry_space_group_name_H-M 'P -6'
_symmetry_Int_Tables_number 174
_cell_length_a 13.0392
_cell_length_b 13.0392
_cell_length_c 9.5542
_cell_angle_alpha 90.00
_cell_angle_beta 90.00
_cell_angle_gamma 120.00
loop_
_symmetry_equiv_pos_as_xyz
'x,y,z'
'-x+y,-x,-z'
'-y,x-y,z'
'x,y,-z'
'-x+y,-x,z'
'-y,x-y,-z'
loop_
_atom_site_label
_atom_site_type_symbol
_atom_site_fract_x
_atom_site_fract_y
_atom_site_fract_z
Pr1 Pr 0.0000 0.0000 0.1975
Pr2 Pr 0.1163 0.7156 0.5000
Pr3 Pr 0.1399 0.4661 0.0000
Pr4 Pr 0.3798 0.1138 0.5000
Pr5 Pr 0.4714 0.3293 0.0000
Ag1 Ag 0.0185 0.8850 0.5000
Ag2 Ag 0.0597 0.8197 0.0000
Ag3 Ag 0.0761 0.2658 0.2653
Ag4 Ag 0.1042 0.6630 0.1671
Ag5 Ag 0.1148 0.4918 0.3469
Ag6 Ag 0.2364 0.0586 0.0000
Ag7 Ag 0.2707 0.1982 0.2588
Ag8 Ag 0.3333 0.6667 0.2053
Ag9 Ag 0.3333 0.6667 0.5000
Ag10 Ag 0.4350 0.1044 0.1696
Ag11 Ag 0.4993 0.3837 0.3480
Ag12 Ag 0.6667 0.3333 0.2061
Ag13 Ag 0.6667 0.3333 0.5000
# DOS(E_F): 31.1 states/eV/cell
# ΔE_f: -0.233 eV per atom

=====

Entry 18:
# Sc3CoC3 PBE relaxed
data_Sc3CoC3
_symmetry_space_group_name_H-M 'C m c m'
_symmetry_Int_Tables_number 63
_symmetry_space_group_name_Hall '-C 2c 2'
_cell_length_a 8.1067
_cell_length_b 9.6248
_cell_length_c 4.6701
_cell_angle_alpha 90.00
_cell_angle_beta 90.00
_cell_angle_gamma 90.00
loop_
_atom_site_label
_atom_site_type_symbol
_atom_site_fract_x
_atom_site_fract_y
_atom_site_fract_z
Sc1 Sc 0.0000 0.1072 0.2500
Sc2 Sc 0.2212 0.3780 0.2500
Co1 Co 0.0000 0.3069 0.7500
C1 C 0.0000 0.1196 0.7500
C2 C 0.2109 0.3729 0.7500
# DOS(E_F): 18.2 states/eV/cell
# ΔE_f: -0.332 eV per atom

=====

Entry 19:
# Tl3OsO7 PBE relaxed
data_Tl3OsO7
_symmetry_space_group_name_H-M 'C m c m'
_symmetry_Int_Tables_number 63
_symmetry_space_group_name_Hall '-C 2c 2'
_cell_length_a 10.8787
_cell_length_b 7.6659
_cell_length_c 7.4196
_cell_angle_alpha 90.00
_cell_angle_beta 90.00
_cell_angle_gamma 90.00
loop_
_atom_site_label
_atom_site_type_symbol
_atom_site_fract_x
_atom_site_fract_y
_atom_site_fract_z
Tl1 Tl 0.0000 0.0195 0.2500
Tl2 Tl 0.2500 0.2500 0.0000
Os1 Os 0.0000 0.4987 0.7500
O1 O 0.0000 0.5000 0.0000
O2 O 0.1236 0.3097 0.2500
O3 O 0.1266 0.3182 0.7500
O4 O 0.1367 0.0000 0.0000
# DOS(E_F): 18.0 states/eV/cell
# uncorrected energy: -5.61 eV per atom

=====

Entry 20:
# CeSm2Ag PBE relaxed
data_CeSm2Ag
_symmetry_space_group_name_H-M 'R -3 m'
_symmetry_Int_Tables_number 166
_symmetry_space_group_name_Hall '-R 3 2"'
_cell_length_a 3.3315
_cell_length_b 3.3315
_cell_length_c 35.0963
_cell_angle_alpha 90.00
_cell_angle_beta 90.00
_cell_angle_gamma 120.00
loop_
_atom_site_label
_atom_site_type_symbol
_atom_site_fract_x
_atom_site_fract_y
_atom_site_fract_z
Ce1 Ce 0.0000 0.0000 0.0000
Sm1 Sm 0.0000 0.0000 0.0940
Ag1 Ag 0.0000 0.0000 0.5000
# DOS(E_F): 15.3 states/eV/cell
# ΔE_f: 0.184 eV per atom
# E above lowest polymorph: 0.2627 eV per atom